DFT (GGA-PBE) results for crystalline Pm2US5 at its relaxed geometry.

The value obtained for the uncorrected energy is -221.7 eV/cell. As for the density: 4680 kg/m³. The value obtained for the magnetic moment is 8.00 μB/cell. For the uncorrected formation energy, the calculation gives -14.0 eV/f.u.

The space group is Cmcm (No. 63) and the conventional cell measures 5.3907, 13.5612 and 13.3636 Å, with angles of 90.00, 90.00 and 90.00 degrees. The inequivalent atoms are Pm at (0.0000, 0.1452, 0.0613), U at (0.0000, 0.1930, 0.7500), S at (0.0000, 0.0482, 0.6206), S at (0.0000, 0.2572, 0.2500) and S at (0.0000, 0.3071, 0.5799).